[1]
{"formula": "TaGa5", "functional": "PBE", "state": "relaxed", "lattice_angstrom": [[1.947, -6.794, 0.000], [1.947, 6.794, 0.000], [0.000, 0.000, 3.863]], "species": ["Ta", "Ga", "Ga", "Ga", "Ga", "Ga"], "frac_coords": [[0.000, 0.000, 0.000], [0.168, 0.832, 0.500], [0.344, 0.656, 0.000], [0.500, 0.500, 0.500], [0.656, 0.344, 0.000], [0.832, 0.168, 0.500]], "sg": "Cmmm, No. 65", "crystal_system": "orthorhombic", "e_above_lowest_polymorph_ev_per_fu": 0.43, "formation_energy_mev_per_atom": 22, "vol_a3_per_cell": 102.22, "e_tot_ev_per_cell": -26.853, "density_g_cm3": 8.603}

[2]
{"formula": "TaGa2", "functional": "PBE", "state": "relaxed", "lattice_angstrom": [[5.722, -1.397, 0.000], [5.722, 1.397, 0.000], [-3.127, 0.000, 6.560]], "species": ["Ta", "Ta", "Ga", "Ga", "Ga", "Ga"], "frac_coords": [[0.134, 0.134, 0.012], [0.866, 0.866, 0.988], [0.168, 0.168, 0.653], [0.435, 0.435, 0.700], [0.565, 0.565, 0.300], [0.832, 0.832, 0.347]], "sg": "C2/m, No. 12", "crystal_system": "monoclinic", "formation_energy_mev_per_atom": -30, "vol_a3_per_cell": 104.91, "e_tot_ev_per_cell": -35.995, "density_g_cm3": 10.143}

[3]
{"formula": "TaGa2", "functional": "PBE", "state": "relaxed", "lattice_angstrom": [[0.000, 3.625, 3.625], [3.625, 0.000, 3.625], [3.625, 3.625, 0.000]], "species": ["Ta", "Ta", "Ga", "Ga", "Ga", "Ga"], "frac_coords": [[0.125, 0.125, 0.125], [0.875, 0.875, 0.875], [0.000, 0.500, 0.500], [0.500, 0.000, 0.500], [0.500, 0.500, 0.000], [0.500, 0.500, 0.500]], "sg": "Fd-3m, No. 227", "crystal_system": "cubic", "formation_energy_mev_per_atom": 47, "vol_a3_per_cell": 95.29, "e_tot_ev_per_cell": -35.533, "density_g_cm3": 11.167}

[4]
{"formula": "Ta5Ga2", "functional": "PBE", "state": "relaxed", "lattice_angstrom": [[6.674, -2.604, 0.000], [6.674, 2.604, 0.000], [-0.758, 0.000, 7.138]], "species": ["Ta", "Ta", "Ta", "Ta", "Ta", "Ta", "Ta", "Ta", "Ta", "Ta", "Ga", "Ga", "Ga", "Ga"], "frac_coords": [[0.101, 0.334, 0.314], [0.193, 0.807, 0.750], [0.232, 0.544, 0.051], [0.334, 0.101, 0.814], [0.456, 0.768, 0.449], [0.544, 0.232, 0.551], [0.666, 0.899, 0.186], [0.768, 0.456, 0.949], [0.807, 0.193, 0.250], [0.899, 0.666, 0.686], [0.088, 0.724, 0.411], [0.276, 0.912, 0.089], [0.724, 0.088, 0.911], [0.912, 0.276, 0.589]], "sg": "C2/c, No. 15", "crystal_system": "monoclinic", "formation_energy_mev_per_atom": -3, "vol_a3_per_cell": 248.13, "e_tot_ev_per_cell": -130.678, "density_g_cm3": 13.976}

[5]
{"formula": "TaGa2", "functional": "PBE", "state": "relaxed", "lattice_angstrom": [[3.819, 0.000, 0.000], [0.000, 3.764, 0.000], [-1.902, 0.000, 6.857]], "species": ["Ta", "Ta", "Ga", "Ga", "Ga", "Ga"], "frac_coords": [[0.090, 0.250, 0.182], [0.910, 0.750, 0.818], [0.247, 0.750, 0.495], [0.431, 0.250, 0.862], [0.569, 0.750, 0.138], [0.753, 0.250, 0.505]], "sg": "P2_1/m, No. 11", "crystal_system": "monoclinic", "formation_energy_mev_per_atom": -186, "vol_a3_per_cell": 98.54, "e_tot_ev_per_cell": -36.927, "density_g_cm3": 10.798}

[6]
{"formula": "TaGa2", "functional": "PBE", "state": "relaxed", "lattice_angstrom": [[2.072, -2.440, 0.000], [2.072, 2.440, 0.000], [-2.047, 0.000, 4.960]], "species": ["Ta", "Ga", "Ga"], "frac_coords": [[0.000, 0.000, 0.000], [0.328, 0.328, 0.654], [0.672, 0.672, 0.346]], "sg": "C2/m, No. 12", "crystal_system": "monoclinic", "formation_energy_mev_per_atom": 16, "vol_a3_per_cell": 50.15, "e_tot_ev_per_cell": -17.859, "density_g_cm3": 10.608}